{
  "formula": "YRu3C",
  "functional": "PBE",
  "state": "relaxed",
  "e_tot_ev_per_cell": -40.325,
  "dos_at_fermi_per_ev_atom": 0.98,
  "formation_enthalpy_0k_ev_per_fu": 3.2,
  "lattice": [[3.603, 0.000, 0.000], [0.000, 3.603, 0.000], [0.000, 0.000, 7.082]],
  "species": ["Y", "Ru", "Ru", "Ru", "C"],
  "frac_coords": [[0.000, 0.000, 0.000], [0.000, 0.000, 0.592], [0.000, 0.500, 0.340], [0.500, 0.000, 0.340], [0.500, 0.500, 0.165]]
}